No. 1
NaNdAlAg (PBE, relaxed); calculated formation energy = -0.11 eV/atom
1.0
5.0183 0.0000 0.0000
2.5091 4.3460 0.0000
2.5091 1.4487 4.0974
Na Nd Al Ag
1 1 1 1
Direct
0.5000 0.5000 0.5000
0.2500 0.2500 0.2500
0.7500 0.7500 0.7500
0.0000 0.0000 0.0000


No. 2
KNa11 (PBE, relaxed); calculated formation energy = 0.03 eV/atom
1.0
3.6698 0.0000 0.0000
0.0000 10.6038 -6.1221
0.0000 0.0000 12.2442
K Na
1 11
Direct
0.0000 0.0000 0.0000
0.0000 0.5000 0.0000
0.0000 0.0000 0.5000
0.0000 0.5000 0.5000
0.5000 0.1800 0.3599
0.5000 0.3599 0.1800
0.5000 0.8200 0.1800
0.5000 0.1800 0.8200
0.5000 0.6401 0.8200
0.5000 0.8200 0.6401
0.0000 0.6667 0.3333
0.0000 0.3333 0.6667


No. 3
Sr2AcNpN4 (PBE, relaxed); raw formation energy = -0.96 eV per atom
1.0
-3.4318 1.1755 0.7505
-1.7249 -6.0558 1.5975
2.1984 3.1251 5.1576
Sr Ac Np N
2 1 1 4
Direct
0.5000 0.0000 0.5000
0.0000 0.5000 0.5000
0.5000 0.5000 0.0000
0.0000 0.0000 0.0000
0.5000 0.2175 0.2115
0.5000 0.7825 0.7885
0.0000 0.2056 0.8046
0.0000 0.7944 0.1954